Record 1
# La5NdSm8

Crystalline La5NdSm8 at its relaxed geometry (PBE-GGA, Alexandria via LeMat-Bulk).

It has space group I-4 (No. 82), with a = 9.756 Å, b = 9.756 Å, c = 10.439 Å, α = 90.00°, β = 90.00° and γ = 90.00°. The asymmetric unit holds La at (0.000, 0.000, 0.000), La at (0.108, 0.215, 0.575), Nd at (0.000, 0.500, 0.250), Sm at (0.074, 0.324, 0.895) and Sm at (0.078, 0.180, 0.242).

The calculation puts the formation enthalpy at 0 K at 0.2150 eV per atom.

***

Record 2
# La4Nd3Sm2

Crystalline La4Nd3Sm2 at its relaxed geometry (PBE-GGA, Alexandria via LeMat-Bulk).

It has space group C2/m (No. 12), with a = 15.670 Å, b = 5.249 Å, c = 8.242 Å, α = 90.00°, β = 108.44° and γ = 90.00°. The asymmetric unit holds La at (0.055, 0.000, 0.332), La at (0.223, 0.500, 0.332), Nd at (0.000, 0.500, 0.000), Nd at (0.112, 0.500, 0.669) and Sm at (0.167, 0.000, 0.000).

The calculation puts the formation enthalpy at 0 K at 0.0158 eV per atom.

***

Record 3
# La2Nd2Sm

Crystalline La2Nd2Sm at its relaxed geometry (PBE-GGA, Alexandria via LeMat-Bulk).

It has space group P2/m (No. 10), with a = 5.595 Å, b = 3.587 Å, c = 9.273 Å, α = 90.00°, β = 107.47° and γ = 90.00°. The asymmetric unit holds La at (0.197, 0.000, 0.395), Nd at (0.399, 0.500, 0.798) and Sm at (0.000, 0.000, 0.000).

The calculation puts the formation enthalpy at 0 K at 0.0560 eV per atom.

***

Record 4
# La3NdSm4

Crystalline La3NdSm4 at its relaxed geometry (PBE-GGA, Alexandria via LeMat-Bulk).

It has space group Pmn2_1 (No. 31), with a = 11.882 Å, b = 7.437 Å, c = 6.445 Å, α = 90.00°, β = 90.00° and γ = 90.00°. The asymmetric unit holds La at (0.000, 0.125, 0.000), La at (0.248, 0.624, 0.667), Nd at (0.000, 0.373, 0.497), Sm at (0.000, 0.628, 0.001), Sm at (0.000, 0.875, 0.499) and Sm at (0.250, 0.124, 0.666).

The calculation puts the formation enthalpy at 0 K at 0.0374 eV per atom.

***

no.,calculated volume (A^3/atom),electronic total energy (eV per cell)
1,35.487,-128.296
2,35.729,-86.619
3,35.507,-23.830
4,35.593,-76.254